An optimized crystal structure of Ac7Co2Hg2, computed with GGA-PBE.

Values from the calculation:
Formation energy (eV/atom): -0.100
Space group: Cmmm (65)
N(E_F) (states/eV/f.u.): 13.0

Cell and atoms, written as extended XYZ:
```
11
Lattice="4.158 -6.140 0.000 4.158 6.140 0.000 0.000 0.000 7.569" Properties=species:S:1:pos:R:3 pbc="T T T"
Ac 0.000 0.000 0.000
Ac 2.079 3.070 1.871
Ac 2.079 3.070 5.698
Ac 2.079 -3.070 1.871
Ac 2.079 -3.070 5.698
Ac 4.158 0.000 1.803
Ac 4.158 0.000 5.765
Co 4.158 2.430 0.000
Co 4.158 -2.430 0.000
Hg 1.444 0.000 3.784
Hg 6.872 0.000 3.784
```

***

An optimized crystal structure of NaMgTeCl, computed with GGA-PBE.

Values from the calculation:
Formation energy without anion corrections (meV/atom): -1267.6
Space group: R-3m (166)
N(E_F) (states/eV/f.u.): 0.0

Cell and atoms, written as extended XYZ:
```
8
Lattice="2.342 1.352 13.418 -2.342 1.352 13.418 0.000 -2.704 13.418" Properties=species:S:1:pos:R:3 pbc="T T T"
Na 0.000 0.000 5.386
Na 0.000 0.000 34.868
Mg 0.000 0.000 12.340
Mg 0.000 0.000 27.915
Te 0.000 0.000 15.255
Te 0.000 0.000 24.999
Cl 0.000 0.000 8.192
Cl 0.000 0.000 32.062
```

***

An optimized crystal structure of Y2P6Pd21, computed with GGA-PBE.

Values from the calculation:
Formation energy (eV/atom): -0.639
Space group: Fm-3m (225)
N(E_F) (states/eV/f.u.): 10.1

Cell and atoms, written as extended XYZ:
```
29
Lattice="0.000 6.098 6.098 6.098 0.000 6.098 6.098 6.098 0.000" Properties=species:S:1:pos:R:3 pbc="T T T"
Y 3.049 3.049 3.049
Y 9.146 9.146 9.146
P 6.098 6.098 2.921
P 6.098 2.921 6.098
P 9.274 6.098 6.098
P 2.921 6.098 6.098
P 6.098 9.274 6.098
P 6.098 6.098 9.274
Pd 1.400 1.400 1.400
Pd 4.698 4.698 1.400
Pd 4.698 1.400 4.698
Pd 6.098 3.994 3.994
Pd 8.201 6.098 3.994
Pd 8.201 3.994 6.098
Pd 10.795 7.498 7.498
Pd 3.994 6.098 3.994
Pd 6.098 8.201 3.994
Pd 3.994 3.994 6.098
Pd 6.098 6.098 6.098
Pd 8.201 8.201 6.098
Pd 6.098 3.994 8.201
Pd 8.201 6.098 8.201
Pd 1.400 4.698 4.698
Pd 3.994 8.201 6.098
Pd 3.994 6.098 8.201
Pd 6.098 8.201 8.201
Pd 7.498 10.795 7.498
Pd 7.498 7.498 10.795
Pd 10.795 10.795 10.795
```

***

An optimized crystal structure of Mg3V, computed with GGA-PBE.

Values from the calculation:
Formation energy (eV/atom): 0.306
Space group: Pmm2 (25)
N(E_F) (states/eV/f.u.): 3.0

Cell and atoms, written as extended XYZ:
```
4
Lattice="2.959 0.000 0.000 0.000 4.990 0.000 0.000 0.000 5.482" Properties=species:S:1:pos:R:3 pbc="T T T"
Mg 0.000 0.000 0.000
Mg 0.000 2.495 1.739
Mg 1.480 0.000 2.864
V 1.480 2.495 4.488
```